# 1
A plane-wave DFT calculation with GGA-PBE was carried out for a relaxed structure of ScGaNi.

a b c (Å): 6.143 6.143 6.143
angles (deg): 90.00 90.00 90.00
Space group F-43m (No. 216)
One atom of each set of equivalent atoms:
Sc 0.000 0.000 0.000
Ga 0.250 0.250 0.750
Ni 0.250 0.250 0.250

Computed properties:
Its raw total energy is -58.2 eV per cell.

---

# 2
A plane-wave DFT calculation with GGA-PBE was carried out for a relaxed structure of KLiZrSe3.

a b c (Å): 14.748 3.991 10.673
angles (deg): 90.00 90.00 90.00
Space group Pnma (No. 62)
One atom of each set of equivalent atoms:
K 0.229 0.250 0.032
Li 0.014 0.750 0.091
Zr 0.013 0.250 0.333
Se 0.085 0.750 0.872
Se 0.094 0.250 0.569
Se 0.129 0.750 0.264

Computed properties:
As for the energy above the most stable polymorph in this dataset: 0 meV per atom. Its raw total energy is -120.4 eV per cell.